Entry 1:
Material: ErCu4P3
Method: DFT, PBE
State: optimized geometry

space-group type: No. 123
volume: 117.6 Å³ per cell
formation energy from the elements: -3.36 eV/f.u.

Cell: 3.922 3.922 7.644 Å, 90.00 90.00 90.00°
Positions (direct):
Er (0.000, 0.000, 0.000)
Cu (0.000, 0.500, 0.319)
Cu (0.000, 0.500, 0.681)
Cu (0.500, 0.000, 0.319)
Cu (0.500, 0.000, 0.681)
P (0.000, 0.000, 0.500)
P (0.500, 0.500, 0.148)
P (0.500, 0.500, 0.852)



Entry 2:
Material: Er2CuP
Method: DFT, PBE
State: optimized geometry

space-group type: No. 166
volume: 106.4 Å³ per cell
formation energy from the elements: -1.02 eV/f.u.

Cell: 9.050 9.050 9.050 Å, 23.84 23.84 23.84°
Positions (direct):
Er (0.106, 0.106, 0.106)
Er (0.894, 0.894, 0.894)
Cu (0.000, 0.000, 0.000)
P (0.500, 0.500, 0.500)



Entry 3:
Material: ErPaCu
Method: DFT, PBE
State: optimized geometry

E above lowest polymorph: 0.136 eV per atom
space-group type: No. 107
volume: 67.6 Å³ per cell
formation energy from the elements: 0.23 eV/f.u.

Cell: 6.731 6.731 6.731 Å, 151.89 151.89 40.18°
Positions (direct):
Er (0.000, 0.000, 0.000)
Pa (0.296, 0.296, 0.000)
Cu (0.645, 0.645, 0.000)



Entry 4:
Material: ErPa2Cu9
Method: DFT, PBE
State: optimized geometry

space-group type: No. 166
volume: 187.5 Å³ per cell
formation energy from the elements: -1.08 eV/f.u.

Cell: 8.946 8.946 8.946 Å, 32.86 32.86 32.86°
Positions (direct):
Er (0.000, 0.000, 0.000)
Pa (0.146, 0.146, 0.146)
Pa (0.854, 0.854, 0.854)
Cu (0.082, 0.581, 0.581)
Cu (0.333, 0.333, 0.333)
Cu (0.419, 0.419, 0.918)
Cu (0.419, 0.918, 0.419)
Cu (0.500, 0.500, 0.500)
Cu (0.581, 0.082, 0.581)
Cu (0.581, 0.581, 0.082)
Cu (0.667, 0.667, 0.667)
Cu (0.918, 0.419, 0.419)



Entry 5:
Material: ErPaCu
Method: DFT, PBE
State: optimized geometry

E above lowest polymorph: 0.000 eV per atom
space-group type: No. 63
volume: 133.3 Å³ per cell
formation energy from the elements: -0.18 eV/f.u.

Cell: 9.003 9.003 4.439 Å, 90.00 90.00 158.25°
Positions (direct):
Er (0.089, 0.911, 0.750)
Er (0.911, 0.089, 0.250)
Pa (0.289, 0.711, 0.750)
Pa (0.711, 0.289, 0.250)
Cu (0.457, 0.543, 0.750)
Cu (0.543, 0.457, 0.250)



Entry 6:
Material: ErPaCu2
Method: DFT, PBE
State: optimized geometry

E above lowest polymorph: 0.200 eV per atom
space-group type: No. 166
volume: 83.9 Å³ per cell
formation energy from the elements: 0.70 eV/f.u.

Cell: 8.994 8.994 8.994 Å, 21.27 21.27 21.27°
Positions (direct):
Er (0.000, 0.000, 0.000)
Pa (0.500, 0.500, 0.500)
Cu (0.252, 0.252, 0.252)
Cu (0.748, 0.748, 0.748)



Entry 7:
Material: ErPaCu2
Method: DFT, PBE
State: optimized geometry

E above lowest polymorph: 0.000 eV per atom
space-group type: No. 123
volume: 79.7 Å³ per cell
formation energy from the elements: -0.10 eV/f.u.

Cell: 3.274 3.274 7.432 Å, 90.00 90.00 90.00°
Positions (direct):
Er (0.000, 0.000, 0.000)
Pa (0.000, 0.000, 0.500)
Cu (0.500, 0.500, 0.243)
Cu (0.500, 0.500, 0.757)



Entry 8:
Material: ErPaCu10
Method: DFT, PBE
State: optimized geometry

space-group type: No. 47
volume: 178.6 Å³ per cell
formation energy from the elements: -1.11 eV/f.u.

Cell: 4.103 5.034 8.647 Å, 90.00 90.00 90.00°
Positions (direct):
Er (0.000, 0.000, 0.000)
Pa (0.000, 0.500, 0.500)
Cu (0.000, 0.000, 0.332)
Cu (0.000, 0.000, 0.668)
Cu (0.000, 0.500, 0.166)
Cu (0.000, 0.500, 0.834)
Cu (0.500, 0.000, 0.500)
Cu (0.500, 0.252, 0.252)
Cu (0.500, 0.252, 0.748)
Cu (0.500, 0.500, 0.000)
Cu (0.500, 0.748, 0.252)
Cu (0.500, 0.748, 0.748)



Entry 9:
Material: ErPaCu2
Method: DFT, PBE
State: optimized geometry

E above lowest polymorph: 0.072 eV per atom
space-group type: No. 225
volume: 81.2 Å³ per cell
formation energy from the elements: 0.18 eV/f.u.

Cell: 4.861 4.861 4.861 Å, 60.00 60.00 60.00°
Positions (direct):
Er (0.000, 0.000, 0.000)
Pa (0.500, 0.500, 0.500)
Cu (0.250, 0.250, 0.250)
Cu (0.750, 0.750, 0.750)



Entry 10:
Material: ErPaCuPt
Method: DFT, PBE
State: optimized geometry

space-group type: No. 216
volume: 84.0 Å³ per cell
formation energy from the elements: -1.95 eV/f.u.

Cell: 4.916 4.916 4.916 Å, 60.00 60.00 60.00°
Positions (direct):
Er (0.000, 0.000, 0.000)
Pa (0.500, 0.500, 0.500)
Cu (0.750, 0.750, 0.750)
Pt (0.250, 0.250, 0.250)



Entry 11:
Material: Er2PaCuS6
Method: DFT, PBE
State: optimized geometry

energy relative to the elements, uncorrected: -12.01 eV per formula unit
space-group type: No. 99
volume: 250.3 Å³ per cell

Cell: 6.333 6.333 6.241 Å, 90.00 90.00 90.00°
Positions (direct):
Er (0.000, 0.500, 0.000)
Er (0.500, 0.000, 0.000)
Pa (0.000, 0.000, 0.607)
Cu (0.500, 0.500, 0.553)
S (0.000, 0.000, 0.179)
S (0.264, 0.264, 0.758)
S (0.264, 0.736, 0.758)
S (0.500, 0.500, 0.198)
S (0.736, 0.264, 0.758)
S (0.736, 0.736, 0.758)



Entry 12:
Material: ErPaCuSi
Method: DFT, PBE
State: optimized geometry

energy relative to the elements, uncorrected: -0.74 eV per formula unit
space-group type: No. 216
volume: 82.5 Å³ per cell

Cell: 4.886 4.886 4.886 Å, 60.00 60.00 60.00°
Positions (direct):
Er (0.000, 0.000, 0.000)
Pa (0.500, 0.500, 0.500)
Cu (0.250, 0.250, 0.250)
Si (0.750, 0.750, 0.750)